DFT (PBE) results for crystalline Dy2Sn2Pd3Pt at its relaxed geometry.

Cell and atoms, written as POSCAR:
```
Dy2Sn2Pd3Pt
1.0
4.577 0.000 0.000
-2.288 3.963 0.000
0.000 0.000 8.992
Dy Sn Pd Pt
2 2 3 1
Direct
0.000 0.000 0.000
0.333 0.667 0.497
0.667 0.333 0.251
0.667 0.333 0.751
0.000 0.000 0.664
0.333 0.667 0.160
0.333 0.667 0.835
0.000 0.000 0.337
```

## Properties
electronic total energy: -5.776 eV/atom
symmetry: P3m1 (156)